Record 1
DFT (PBE) results for an optimized crystal structure of TiBeCu2.

a b c (Å): 9.704 5.448 5.448
angles (deg): 26.19 27.06 27.06
Atoms (fractional coordinates):
Ti (0.500, 0.000, 0.000)
Be (0.000, 0.000, 0.000)
Cu (0.783, 0.000, 0.000)
Cu (0.217, 0.000, 0.000)

Calculated values
The value obtained for the formation energy from the elements is 0.26 eV/atom. For the spin magnetization, the calculation gives 0.0 Bohr magnetons per cell. For the raw total energy, the calculation gives -4.70 eV per atom. Its space group is Immm.



Record 2
DFT (PBE) results for an optimized crystal structure of AlSn3Pd.

a b c (Å): 5.213 5.213 5.213
angles (deg): 90.00 90.00 90.00
Atoms (fractional coordinates):
Sn (0.000, 0.500, 0.000)
Sn (0.000, 0.000, 0.500)
Sn (0.500, 0.000, 0.000)
Pd (0.000, 0.000, 0.000)
Al (0.500, 0.500, 0.500)

Calculated values
The value obtained for the formation energy from the elements is 0.24 eV/atom. For the spin magnetization, the calculation gives 0.0 Bohr magnetons per cell. For the raw total energy, the calculation gives -3.94 eV per atom. Its space group is Pm-3m.